Entry i
A plane-wave DFT calculation with PBE-GGA was carried out for a geometry-optimized Cd2TcGe2 structure.

As for the volume: 199.0 Å³ per cell. As for the space group: P4/mbm, No. 127. As for the magnetization: 2.12 μB/f.u.

The structure in extended XYZ format:
```
10
Lattice="-5.9658 3.5871 -2.8834 -0.2227 -4.9401 -5.6849 -2.1380 -2.0538 1.8685" Properties=species:S:1:pos:R:3 pbc="T T T"
Ge -2.2482 -3.7305 -3.3867
Ge -5.2656 -2.7021 -5.7089
Ge -6.0783 0.3236 -3.3131
Ge -3.0609 -0.7048 -0.9909
Tc 0.0000 0.0000 0.0000
Tc -3.0943 -0.6765 -4.2842
Cd -2.3795 -2.9660 -5.9828
Cd -5.3106 -0.0213 -6.0998
Cd -3.8090 1.6129 -2.5855
Cd -0.8780 -1.3318 -2.4685
```

=====

Entry ii
A plane-wave DFT calculation with PBE-GGA was carried out for a geometry-optimized Cd2TcGe2 structure.

As for the volume: 103.9 Å³ per cell. As for the space group: I4/mmm, No. 139. As for the magnetization: 2.08 μB/f.u.

The structure in extended XYZ format:
```
5
Lattice="3.5627 0.0000 0.0000 0.0000 3.5627 0.0000 1.7813 1.7813 8.1847" Properties=species:S:1:pos:R:3 pbc="T T T"
Ge 3.5627 1.7813 4.0924
Ge 1.7813 3.5627 4.0924
Tc 0.0000 0.0000 0.0000
Cd 1.7813 1.7813 1.5236
Cd 3.5627 3.5627 6.6611
```

=====

Entry iii
A plane-wave DFT calculation with PBE-GGA was carried out for a geometry-optimized Cd2TcGe2 structure.

As for the volume: 187.0 Å³ per cell. As for the space group: P4/mbm, No. 127. As for the magnetization: 0.00 μB/f.u.

The structure in extended XYZ format:
```
10
Lattice="6.6777 0.0000 0.0000 0.0000 6.6777 0.0000 0.0000 0.0000 4.1943" Properties=species:S:1:pos:R:3 pbc="T T T"
Ge 2.4169 5.7557 0.0000
Ge 5.7557 4.2608 0.0000
Ge 4.2608 0.9220 0.0000
Ge 0.9220 2.4169 0.0000
Tc 0.0000 0.0000 0.0000
Tc 3.3389 3.3389 0.0000
Cd 1.1639 4.5028 2.0972
Cd 4.5028 5.5138 2.0972
Cd 5.5138 2.1750 2.0972
Cd 2.1750 1.1639 2.0972
```

=====

What should be chosen as the most stable of them? Choose entry iii.

=====

Entry i
A plane-wave DFT calculation with PBE-GGA was carried out for a geometry-optimized CdTc2Ge2 structure.

As for the volume: 85.0 Å³ per cell. As for the space group: I4/mmm, No. 139. As for the magnetization: 0.33 μB/f.u.

The structure in extended XYZ format:
```
5
Lattice="3.6588 0.0000 0.0000 0.0000 3.6588 0.0000 1.8294 1.8294 6.3460" Properties=species:S:1:pos:R:3 pbc="T T T"
Ge 3.6588 1.8294 3.1730
Ge 1.8294 3.6588 3.1730
Tc 1.8294 1.8294 1.3453
Tc 3.6588 3.6588 5.0007
Cd 0.0000 0.0000 0.0000
```

=====

Entry ii
A plane-wave DFT calculation with PBE-GGA was carried out for a geometry-optimized CdTc2Ge2 structure.

As for the volume: 90.0 Å³ per cell. As for the space group: I4/mmm, No. 139. As for the magnetization: 0.00 μB/f.u.

The structure in extended XYZ format:
```
5
Lattice="-1.2841 -3.9610 0.6016 3.8838 -1.3858 -0.8343 2.4881 -2.3101 4.8118" Properties=species:S:1:pos:R:3 pbc="T T T"
Ge 1.5826 -2.5870 1.0560
Ge 3.5053 -5.0699 3.5231
Tc 1.2520 -4.4722 2.6485
Tc 3.8359 -3.1846 1.9306
Cd 0.0000 0.0000 0.0000
```

=====

Entry iii
A plane-wave DFT calculation with PBE-GGA was carried out for a geometry-optimized CdTc2Ge2 structure.

As for the volume: 162.3 Å³ per cell. As for the space group: P4/mbm, No. 127. As for the magnetization: 0.00 μB/f.u.

The structure in extended XYZ format:
```
10
Lattice="7.2275 0.0000 0.0000 0.0000 7.2275 0.0000 0.0000 0.0000 3.1069" Properties=species:S:1:pos:R:3 pbc="T T T"
Ge 1.0843 4.6981 1.5534
Ge 4.6981 6.1432 1.5534
Ge 6.1432 2.5294 1.5534
Ge 2.5294 1.0843 1.5534
Tc 2.5791 6.1928 0.0000
Tc 6.1928 4.6484 0.0000
Tc 4.6484 1.0347 0.0000
Tc 1.0347 2.5791 0.0000
Cd 0.0000 0.0000 0.0000
Cd 3.6138 3.6138 0.0000
```

=====

What should be chosen as the most stable of them? Choose entry iii.

=====

Entry i
A plane-wave DFT calculation with PBE-GGA was carried out for a geometry-optimized Cd3TcGe structure.

As for the volume: 140.6 Å³ per cell. As for the space group: Pm-3m, No. 221. As for the magnetization: 1.09 μB/f.u.

The structure in extended XYZ format:
```
5
Lattice="-3.2203 -0.4245 -4.0599 -3.5959 -2.1526 3.0773 -1.9321 4.7138 1.0396" Properties=species:S:1:pos:R:3 pbc="T T T"
Ge -4.3741 1.0684 0.0285
Tc 0.0000 0.0000 0.0000
Cd -1.7979 -1.0763 1.5386
Cd -0.9660 2.3569 0.5198
Cd -1.6101 -0.2122 -2.0300
```

=====

Entry ii
A plane-wave DFT calculation with PBE-GGA was carried out for a geometry-optimized Cd3TcGe structure.

As for the volume: 132.4 Å³ per cell. As for the space group: Pm-3m, No. 221. As for the magnetization: 3.42 μB/f.u.

The structure in extended XYZ format:
```
5
Lattice="-2.7207 3.3186 2.7508 -2.0080 -3.8542 2.6637 3.8142 0.3381 3.3645" Properties=species:S:1:pos:R:3 pbc="T T T"
Ge 0.0000 0.0000 0.0000
Tc -0.4572 -0.0988 4.3895
Cd -1.0040 -1.9271 1.3319
Cd 1.9071 0.1691 1.6823
Cd -1.3604 1.6593 1.3754
```

=====

What should be chosen as the most stable of them? Choose entry i.

=====

Entry i
A plane-wave DFT calculation with PBE-GGA was carried out for a geometry-optimized CdTc2Ge structure.

As for the volume: 62.7 Å³ per cell. As for the space group: Fm-3m, No. 225. As for the magnetization: 0.00 μB/f.u.

The structure in extended XYZ format:
```
4
Lattice="3.0617 -3.2061 -0.4760 0.9465 -2.7038 3.4167 -1.2524 -4.2772 -0.1286" Properties=species:S:1:pos:R:3 pbc="T T T"
Ge 0.0000 0.0000 0.0000
Tc 0.6889 -2.5468 0.7030
Tc 2.0668 -7.6403 2.1090
Cd 1.3779 -5.0936 1.4060
```

=====

Entry ii
A plane-wave DFT calculation with PBE-GGA was carried out for a geometry-optimized CdTc2Ge structure.

As for the volume: 148.8 Å³ per cell. As for the space group: I-42d, No. 122. As for the magnetization: 0.00 μB/f.u.

The structure in extended XYZ format:
```
8
Lattice="-0.4496 3.7624 -1.1855 -1.8960 -1.2525 -3.2557 -9.3986 1.7245 2.3891" Properties=species:S:1:pos:R:3 pbc="T T T"
Ge -1.1728 1.2550 -2.2206
Ge -6.2337 0.8635 -1.5436
Tc -2.8287 2.2999 -0.4479
Tc -3.6298 0.4448 -1.6885
Tc -8.0929 2.1260 -0.1558
Tc -8.9370 3.5981 -1.8121
Cd 0.0000 0.0000 0.0000
Cd -5.5105 3.3709 -0.5085
```

=====

What should be chosen as the most stable of them? Choose entry i.